(1)
Compound: WCl
Source: the Alexandria database
Functional: PBE
Structure: optimized geometry

POSCAR file:
```
WCl
1.0
-1.497 1.571 9.164
1.497 -1.571 9.164
1.497 1.571 -9.164
W Cl
2 2
direct
0.302 0.052 0.250 W
0.698 0.948 0.750 W
0.105 0.355 0.750 Cl
0.895 0.645 0.250 Cl
```

Computed properties:
**DOS(E_F)**: 0.60 states/eV per atom
**ΔE_f (raw)**: 296 meV/atom
**M_tot**: 0.000 μB per formula unit
**Distance to the lowest polymorph of the same formula**: 1.078 eV/f.u.

(2)
Compound: La3Dy4Ho
Source: the Alexandria database
Functional: PBE
Structure: optimized geometry

POSCAR file:
```
La3Dy4Ho
1.0
11.713 0.000 0.000
0.000 6.262 0.000
0.000 0.000 7.265
La Dy Ho
6 8 2
direct
0.000 0.170 0.000 La
0.250 0.000 0.250 La
0.250 0.000 0.750 La
0.500 0.830 0.500 La
0.750 0.000 0.250 La
0.750 0.000 0.750 La
0.000 0.169 0.500 Dy
0.000 0.668 0.251 Dy
0.249 0.499 0.500 Dy
0.251 0.501 0.000 Dy
0.500 0.332 0.751 Dy
0.500 0.831 0.000 Dy
0.749 0.501 0.000 Dy
0.751 0.499 0.500 Dy
0.000 0.668 0.748 Ho
0.500 0.332 0.248 Ho
```

Computed properties:
**DOS(E_F)**: 1.22 states/eV per atom
**Energy of formation**: 4.9 meV/atom
**M_tot**: 0.000 μB per formula unit
**Distance to the lowest polymorph of the same formula**: 0.000 eV/f.u.

(3)
Compound: MgSiRu2
Source: the Alexandria database
Functional: PBE
Structure: optimized geometry

POSCAR file:
```
MgSiRu2
1.0
-1.428 2.181 5.213
1.428 -2.181 5.213
1.428 2.181 -5.213
Mg Si Ru
1 1 2
direct
0.000 0.000 0.000 Mg
0.500 0.500 0.000 Si
0.289 0.289 0.000 Ru
0.711 0.711 0.000 Ru
```

Computed properties:
**DOS(E_F)**: 0.94 states/eV per atom
**ΔE_f (raw)**: 300 meV/atom
**M_tot**: 0.000 μB per formula unit

(4)
Compound: Li2CeWN4
Source: the Alexandria database
Functional: PBE
Structure: optimized geometry

POSCAR file:
```
Li2CeWN4
1.0
-2.641 2.641 3.519
2.641 -2.641 3.519
2.641 2.641 -3.519
Li Ce W N
2 1 1 4
direct
0.250 0.750 0.500 Li
0.750 0.250 0.500 Li
0.000 0.000 0.000 Ce
0.500 0.500 0.000 W
0.144 0.570 0.000 N
0.430 0.430 0.574 N
0.570 0.144 0.000 N
0.856 0.856 0.426 N
```

Computed properties:
**ΔE_f (raw)**: -859 meV/atom
**M_tot**: 0.000 μB per formula unit

Calculated calculated volume (Å³/atom), listed in the same order as above: 21.554; 33.306; 16.232; 12.275
Calculated calculated total energy (eV per atom), listed in the same order as above: -7.10; -4.72; -6.09; -7.86
Calculated theoretical density (g/cm³), listed in the same order as above: 8.447; 7.676; 6.509; 6.660